[1]
5
Lattice="4.991 0.000 0.000 0.000 4.991 0.000 0.000 0.000 4.761" Properties=species:S:1:pos:R:3 comment="PBE-GGA Hf2NbTlAs, relaxed" spacegroup="P4/mmm (123)" crystal_system=tetragonal delta_e_f_kj_per_mol_atoms=31.4 volume_a3_per_cell=118.6 m_tot_mub_per_fu=0.00 pbc="T T T"
Hf 0.000 2.495 0.000
Hf 2.495 0.000 0.000
Nb 0.000 0.000 2.380
Tl 2.495 2.495 2.380
As 0.000 0.000 0.000


[2]
8
Lattice="2.601 1.501 9.703 -2.601 1.501 9.703 0.000 -3.003 9.703" Properties=species:S:1:pos:R:3 comment="PBE-GGA BaNa2MgHg4, relaxed" spacegroup="R-3m (166)" crystal_system=trigonal delta_e_f_kj_per_mol_atoms=-27.8 volume_a3_per_cell=227.3 m_tot_mub_per_fu=0.00 pbc="T T T"
Ba 0.000 0.000 0.000
Na 0.000 0.000 6.851
Na 0.000 0.000 22.257
Mg 0.000 0.000 14.554
Hg 0.000 0.000 3.661
Hg 0.000 0.000 11.588
Hg 0.000 0.000 17.520
Hg 0.000 0.000 25.446


[3]
6
Lattice="3.438 0.000 0.000 0.000 3.438 0.000 0.000 0.000 7.613" Properties=species:S:1:pos:R:3 comment="PBE-GGA FeRhSe, relaxed" spacegroup="I4mm (107)" crystal_system=tetragonal volume_a3_per_cell=90.0 m_tot_mub_per_fu=3.34 formation_energy_uncorrected_ev_per_atom=0.124 pbc="T T T"
Fe 0.000 0.000 0.000
Fe 1.719 1.719 3.806
Rh 0.000 0.000 2.646
Rh 1.719 1.719 6.453
Se 0.000 0.000 5.176
Se 1.719 1.719 1.370


[4]
5
Lattice="4.676 0.000 0.000 0.000 4.676 0.000 0.000 0.000 4.676" Properties=species:S:1:pos:R:3 comment="PBE-GGA BeCoCl3, relaxed" spacegroup="Pm-3m (221)" crystal_system=cubic volume_a3_per_cell=102.2 m_tot_mub_per_fu=1.45 formation_energy_uncorrected_ev_per_atom=0.214 pbc="T T T"
Be 0.000 0.000 0.000
Co 2.338 2.338 2.338
Cl 0.000 2.338 2.338
Cl 2.338 0.000 2.338
Cl 2.338 2.338 0.000


[5]
10
Lattice="5.047 0.000 0.000 -2.523 4.370 0.000 0.000 0.000 6.808" Properties=species:S:1:pos:R:3 comment="PBE-GGA KNa2NiH6, relaxed" final_energy_ev_per_atom=-3.10 spacegroup="P-3m1 (164)" crystal_system=trigonal volume_a3_per_cell=150.2 m_tot_mub_per_fu=0.68 pbc="T T T"
K 0.000 0.000 0.000
Na 0.000 2.914 4.119
Na 2.523 1.457 2.689
Ni 0.000 0.000 3.404
H 0.000 1.236 2.473
H -1.453 3.753 2.473
H 1.070 0.618 4.335
H 1.453 3.753 2.473
H 3.977 0.618 4.335
H 2.523 3.135 4.335


[6]
8
Lattice="5.429 0.000 0.000 0.000 7.461 0.000 -0.066 0.000 3.585" Properties=species:S:1:pos:R:3 comment="PBE-GGA InCoAs2, relaxed" spacegroup="C2/m (12)" crystal_system=monoclinic delta_e_f_kj_per_mol_atoms=38.0 volume_a3_per_cell=145.2 m_tot_mub_per_fu=0.63 pbc="T T T"
In 0.000 0.000 0.000
In 2.715 3.730 0.000
Co 0.000 3.730 0.000
Co 2.715 0.000 0.000
As 1.324 1.865 1.792
As 1.324 5.595 1.792
As 4.039 1.865 1.792
As 4.039 5.595 1.792


[7]
5
Lattice="2.972 0.000 0.000 0.000 2.972 0.000 0.000 0.000 6.530" Properties=species:S:1:pos:R:3 comment="PBE-GGA NaCN2F, relaxed" spacegroup="P4/mmm (123)" crystal_system=tetragonal volume_a3_per_cell=57.7 m_tot_mub_per_fu=0.00 formation_energy_uncorrected_ev_per_atom=0.603 pbc="T T T"
Na 0.000 0.000 0.000
C 1.486 1.486 3.265
N 0.000 1.486 3.265
N 1.486 0.000 3.265
F 1.486 1.486 0.000


[8]
16
Lattice="7.220 0.000 0.000 0.000 7.220 0.000 0.000 0.000 7.220" Properties=species:S:1:pos:R:3 comment="PBE-GGA Bi2RhBr, relaxed" spacegroup="Fm-3m (225)" crystal_system=cubic volume_a3_per_cell=376.4 m_tot_mub_per_fu=0.00 formation_energy_uncorrected_ev_per_atom=0.238 pbc="T T T"
Bi 1.805 1.805 1.805
Bi 1.805 1.805 5.415
Bi 1.805 5.415 1.805
Bi 1.805 5.415 5.415
Bi 5.415 1.805 1.805
Bi 5.415 1.805 5.415
Bi 5.415 5.415 1.805
Bi 5.415 5.415 5.415
Rh 0.000 0.000 0.000
Rh 0.000 3.610 3.610
Rh 3.610 0.000 3.610
Rh 3.610 3.610 0.000
Br 0.000 0.000 3.610
Br 0.000 3.610 0.000
Br 3.610 0.000 0.000
Br 3.610 3.610 3.610